Y2Ti2O7 after structural relaxation, computed with GGA-PBE.

Results
total moment: 0.00 μB/cell
SG: No. 12
uncorrected energy: -9.095 eV per atom

Cell lengths 5.2668, 5.8353, 5.8353 Å; angles 108.31, 96.64, 96.64 degrees
Last column: nearest neighbours and their distance in Å.
Sites, in units of the cell vectors:
1 O 0.2065 0.0711 0.3952  1 Ti 1.84
2 O 0.7935 0.9289 0.6048  1 Ti 1.84
3 O 0.7220 0.4200 0.4200  1 Ti 1.87
4 O 0.5000 0.0000 0.0000  2 Ti 1.84
5 O 0.2065 0.3952 0.0711  1 Ti 1.84
6 O 0.2780 0.5800 0.5800  1 Ti 1.87
7 O 0.7935 0.6048 0.9289  1 Ti 1.84
8 Ti 0.5986 0.7569 0.7569  4 O 1.84-1.87
9 Ti 0.4014 0.2431 0.2431  4 O 1.84-1.87
10 Y 0.0000 0.6896 0.3104  6 O 2.24-2.32
11 Y 0.0000 0.3104 0.6896  6 O 2.24-2.32

---

YTiO3 after structural relaxation, computed with GGA-PBE.

Results
total moment: 1.05 μB/cell
SG: No. 194
uncorrected energy: -9.015 eV per atom

Cell lengths 3.5243, 3.5243, 12.1292 Å; angles 90.00, 90.00, 120.00 degrees
Last column: nearest neighbours and their distance in Å.
Sites, in units of the cell vectors:
1 O 0.0000 0.0000 0.7500  3 Ti 2.03
2 O 0.0000 0.0000 0.2500  3 Ti 2.03
3 O 0.3333 0.6667 0.4144  1 Ti 1.99
4 O 0.6667 0.3333 0.9144  1 Ti 1.99
5 O 0.3333 0.6667 0.0856  1 Ti 1.99
6 O 0.6667 0.3333 0.5856  1 Ti 1.99
7 Y 0.0000 0.0000 0.0000  6 O 2.28
8 Y 0.0000 0.0000 0.5000  6 O 2.28
9 Ti 0.3333 0.6667 0.2500  5 O 1.99-2.03
10 Ti 0.6667 0.3333 0.7500  5 O 1.99-2.03

---

Y2TiO after structural relaxation, computed with GGA-PBE.

Results
total moment: 0.00 μB/cell
SG: No. 122
uncorrected energy: -7.383 eV per atom

Cell lengths 6.7990, 6.7990, 6.3648 Å; angles 57.72, 57.72, 90.00 degrees
Last column: nearest neighbours and their distance in Å.
Sites, in units of the cell vectors:
1 Ti 0.0000 0.0000 0.0000  4 Y 3.20
2 Ti 0.7500 0.2500 0.5000  4 Y 3.20
3 Y 0.3750 0.4934 0.7500  2 O 2.19
4 Y 0.5066 0.1250 0.2500  2 O 2.19
5 Y 0.8750 0.7566 0.7500  2 O 2.19
6 Y 0.2434 0.6250 0.2500  2 O 2.19
7 O 0.2500 0.7500 0.5000  4 Y 2.19
8 O 0.5000 0.5000 0.0000  4 Y 2.19

---

YTiO3 after structural relaxation, computed with GGA-PBE.

Results
total moment: 0.00 μB/cell
SG: No. 221
uncorrected energy: -8.789 eV per atom

Cell lengths 3.8609, 3.8609, 3.8609 Å; angles 90.00, 90.00, 90.00 degrees
Last column: nearest neighbours and their distance in Å.
Sites, in units of the cell vectors:
1 O 0.0000 0.0000 0.5000  2 Ti 1.93
2 O 0.5000 0.0000 0.0000  2 Ti 1.93
3 O 0.0000 0.5000 0.0000  2 Ti 1.93
4 Y 0.5000 0.5000 0.5000  12 O 2.73
5 Ti 0.0000 0.0000 0.0000  6 O 1.93

---

YTi3O after structural relaxation, computed with GGA-PBE.

Results
total moment: 2.19 μB/cell
SG: No. 221
ΔE to the lowest computed polymorph: 2783.8 meV/atom

Cell lengths 4.8645, 4.8645, 4.8645 Å; angles 90.00, 90.00, 90.00 degrees
Last column: nearest neighbours and their distance in Å.
Sites, in units of the cell vectors:
1 Y 0.0000 0.0000 0.0000  6 Ti 2.43
2 O 0.5000 0.5000 0.5000  12 Ti 3.44
3 Ti 0.0000 0.0000 0.5000  2 Y 2.43
4 Ti 0.0000 0.5000 0.0000  2 Y 2.43
5 Ti 0.5000 0.0000 0.0000  2 Y 2.43

---

YTiO3 after structural relaxation, computed with GGA-PBE.

Results
total moment: 0.00 μB/cell
SG: No. 63
uncorrected energy: -8.810 eV per atom

Cell lengths 3.1701, 5.9529, 7.1175 Å; angles 90.00, 90.00, 105.46 degrees
Last column: nearest neighbours and their distance in Å.
Sites, in units of the cell vectors:
1 O 0.8431 0.1863 0.0696  1 Ti 1.82
2 O 0.8431 0.1863 0.4304  1 Ti 1.82
3 O 0.1569 0.8137 0.5696  1 Ti 1.82
4 O 0.4335 0.3667 0.7500  2 Ti 2.03
5 O 0.1569 0.8137 0.9304  1 Ti 1.82
6 O 0.5665 0.6333 0.2500  2 Ti 2.03
7 Ti 0.9559 0.4115 0.2500  4 O 1.82-2.03
8 Ti 0.0441 0.5885 0.7500  4 O 1.82-2.03
9 Y 0.2182 0.9364 0.2500  8 O 2.35-2.49
10 Y 0.7818 0.0636 0.7500  8 O 2.35-2.49

---

YTiO3 after structural relaxation, computed with GGA-PBE.

Results
total moment: 1.97 μB/cell
SG: No. 185
uncorrected energy: -9.042 eV per atom

Cell lengths 6.0830, 6.0830, 12.0401 Å; angles 90.00, 90.00, 120.00 degrees
Last column: nearest neighbours and their distance in Å.
Sites, in units of the cell vectors:
1 Y 0.0000 0.0000 0.7801  7 O 2.30-2.36
2 Y 0.3333 0.6667 0.2312  7 O 2.27-2.53
3 Y 0.3333 0.6667 0.7312  7 O 2.27-2.53
4 Y 0.6667 0.3333 0.7312  7 O 2.27-2.53
5 Y 0.6667 0.3333 0.2312  7 O 2.27-2.53
6 Y 0.0000 0.0000 0.2801  7 O 2.30-2.36
7 Ti 0.3342 0.3342 0.5013  5 O 1.97-2.06
8 Ti 0.0000 0.3342 0.0013  5 O 1.97-2.06
9 Ti 0.6658 0.0000 0.5013  5 O 1.97-2.06
10 Ti 0.3342 0.0000 0.0013  5 O 1.97-2.06
11 Ti 0.6658 0.6658 0.0013  5 O 1.97-2.06
12 Ti 0.0000 0.6658 0.5013  5 O 1.97-2.06
13 O 0.0000 0.6374 0.3382  1 Ti 1.97
14 O 0.6667 0.3333 0.5208  3 Ti 2.04
15 O 0.0000 0.6967 0.6654  1 Ti 1.98
16 O 0.0000 0.0000 0.4763  3 Ti 2.06
17 O 0.6967 0.6967 0.1654  1 Ti 1.98
18 O 0.3033 0.0000 0.1654  1 Ti 1.98
19 O 0.3626 0.0000 0.8382  1 Ti 1.97
20 O 0.0000 0.0000 0.9763  3 Ti 2.06
21 O 0.0000 0.3626 0.8382  1 Ti 1.97
22 O 0.3333 0.6667 0.5208  3 Ti 2.04
23 O 0.3033 0.3033 0.6654  1 Ti 1.98
24 O 0.0000 0.3033 0.1654  1 Ti 1.98
25 O 0.3333 0.6667 0.0208  3 Ti 2.04
26 O 0.6967 0.0000 0.6654  1 Ti 1.98
27 O 0.6667 0.3333 0.0208  3 Ti 2.04
28 O 0.3626 0.3626 0.3382  1 Ti 1.97
29 O 0.6374 0.6374 0.8382  1 Ti 1.97
30 O 0.6374 0.0000 0.3382  1 Ti 1.97

---

Y3TiO6 after structural relaxation, computed with GGA-PBE.

Results
total moment: 0.59 μB/cell
SG: No. 36
uncorrected energy: -9.008 eV per atom

Cell lengths 5.4768, 7.0854, 7.0854 Å; angles 100.38, 90.00, 90.00 degrees
Last column: nearest neighbours and their distance in Å.
Sites, in units of the cell vectors:
1 Y 0.4201 0.3965 0.6035  5 O 2.27-2.32
2 Y 0.9712 0.0907 0.3052  6 O 2.24-2.42
3 Y 0.9712 0.6948 0.9093  6 O 2.24-2.42
4 Y 0.4712 0.9093 0.6948  6 O 2.24-2.42
5 Y 0.9201 0.6035 0.3965  5 O 2.27-2.32
6 Y 0.4712 0.3052 0.0907  6 O 2.24-2.42
7 O 0.1971 0.6711 0.6419  4 Y 2.24-2.29
8 O 0.1602 0.3988 0.9019  1 Ti 1.91
9 O 0.6602 0.9019 0.3988  1 Ti 1.91
10 O 0.1971 0.3581 0.3289  4 Y 2.24-2.29
11 O 0.6602 0.6012 0.0981  1 Ti 1.91
12 O 0.6613 0.2208 0.7792  1 Ti 1.92
13 O 0.2566 0.0151 0.9849  2 Ti 2.15-2.29, 2 Y 2.37
14 O 0.6971 0.6419 0.6711  4 Y 2.24-2.29
15 O 0.1602 0.0981 0.6012  1 Ti 1.91
16 O 0.7566 0.9849 0.0151  2 Ti 2.15-2.29, 2 Y 2.37
17 O 0.6971 0.3289 0.3581  4 Y 2.24-2.29
18 O 0.1613 0.7792 0.2208  1 Ti 1.92
19 Ti 0.4902 0.8404 0.1596  3 O 1.91-1.92
20 Ti 0.9902 0.1596 0.8404  3 O 1.91-1.92

---

YTiO3 after structural relaxation, computed with GGA-PBE.

Results
total moment: 0.09 μB/cell
SG: No. 221
uncorrected energy: -7.348 eV per atom

Cell lengths 4.2428, 4.2428, 4.2428 Å; angles 90.00, 90.00, 90.00 degrees
Last column: nearest neighbours and their distance in Å.
Sites, in units of the cell vectors:
1 Ti 0.5000 0.5000 0.5000  12 O 3.00
2 O 0.0000 0.5000 0.0000  2 Y 2.12
3 O 0.0000 0.0000 0.5000  2 Y 2.12
4 O 0.5000 0.0000 0.0000  2 Y 2.12
5 Y 0.0000 0.0000 0.0000  6 O 2.12

---

YTi2O after structural relaxation, computed with GGA-PBE.

Results
total moment: 0.00 μB/cell
SG: No. 122
uncorrected energy: -7.870 eV per atom

Cell lengths 6.1956, 6.1956, 6.1560 Å; angles 59.79, 59.79, 90.00 degrees
Last column: nearest neighbours and their distance in Å.
Sites, in units of the cell vectors:
1 Ti 0.8750 0.5796 0.7500  2 O 1.91
2 Ti 0.3296 0.1250 0.2500  2 O 1.91
3 Ti 0.3750 0.6704 0.7500  2 O 1.91
4 Ti 0.4204 0.6250 0.2500  2 O 1.91
5 Y 0.0000 0.0000 0.0000  8 Ti 3.39-3.61, 4 O 3.78, 4 Y 3.78
6 Y 0.7500 0.2500 0.5000  8 Ti 3.39-3.61, 4 O 3.78, 4 Y 3.78
7 O 0.2500 0.7500 0.5000  4 Ti 1.91
8 O 0.5000 0.5000 0.0000  4 Ti 1.91